This record from the Alexandria database describes Sr2BeSi after structural relaxation. The functional is GGA-PBE.

The structure in extended XYZ format:
```
4
Lattice="3.521 0.000 0.000 0.000 3.521 0.000 0.000 0.000 8.983" Properties=species:S:1:pos:R:3 pbc="T T T"
Sr 0.000 0.000 0.000
Sr 1.760 1.760 3.677
Be 0.000 0.000 5.937
Si 1.760 1.760 6.752
```

Results
**Relative energy among the computed polymorphs**: 403 meV/atom
**SG**: P4mm (99)

***

This record from the Alexandria database describes SrBeSi2Tc after structural relaxation. The functional is GGA-PBE.

The structure in extended XYZ format:
```
5
Lattice="4.651 0.000 0.000 0.000 4.651 0.000 0.000 0.000 4.519" Properties=species:S:1:pos:R:3 pbc="T T T"
Sr 0.000 0.000 0.000
Be 2.325 2.325 0.000
Si 0.000 2.325 2.260
Si 2.325 0.000 2.260
Tc 2.325 2.325 2.260
```

Results
**SG**: P4/mmm (123)
**Total energy**: -5.471 eV per atom

***

This record from the Alexandria database describes SrBe2TlSi after structural relaxation. The functional is GGA-PBE.

The structure in extended XYZ format:
```
5
Lattice="5.660 0.000 0.000 0.000 5.660 0.000 0.000 0.000 5.691" Properties=species:S:1:pos:R:3 pbc="T T T"
Sr 0.000 0.000 0.000
Be 0.000 2.830 0.000
Be 2.830 0.000 0.000
Tl 2.830 2.830 2.846
Si 0.000 0.000 2.846
```

Results
**SG**: P4/mmm (123)
**Total energy**: -1.680 eV per atom

***

This record from the Alexandria database describes SrTmBe2Si2 after structural relaxation. The functional is GGA-PBE.

The structure in extended XYZ format:
```
6
Lattice="3.925 0.000 0.000 -1.963 3.399 0.000 0.000 0.000 8.576" Properties=species:S:1:pos:R:3 pbc="T T T"
Sr 0.000 0.000 0.000
Tm 0.000 0.000 4.288
Be 0.000 2.266 6.165
Be 1.963 1.133 2.411
Si 0.000 2.266 2.366
Si 1.963 1.133 6.210
```

Results
**SG**: P-3m1 (164)
**Total energy**: -4.527 eV per atom

***

This record from the Alexandria database describes TaBeSi2 after structural relaxation. The functional is GGA-PBE.

The structure in extended XYZ format:
```
8
Lattice="5.380 0.000 0.000 0.000 7.524 0.000 0.000 0.000 2.750" Properties=species:S:1:pos:R:3 pbc="T T T"
Ta 0.000 0.000 0.000
Ta 2.690 3.762 0.000
Be 0.000 3.762 0.000
Be 2.690 0.000 0.000
Si 1.345 1.881 1.375
Si 1.345 5.643 1.375
Si 4.035 1.881 1.375
Si 4.035 5.643 1.375
```

Results
**SG**: Cmmm (65)
**Total energy**: -6.470 eV per atom

***

This record from the Alexandria database describes TaBeSi2 after structural relaxation. The functional is GGA-PBE.

The structure in extended XYZ format:
```
4
Lattice="2.700 0.000 0.000 0.000 2.700 0.000 0.000 0.000 7.596" Properties=species:S:1:pos:R:3 pbc="T T T"
Ta 0.000 0.000 0.000
Be 0.000 0.000 3.798
Si 1.350 1.350 2.071
Si 1.350 1.350 5.525
```

Results
**SG**: P4/mmm (123)
**Total energy**: -6.355 eV per atom

***

| no. | theoretical density (Mg/m³) | DOS at the Fermi energy (states/eV/atom) |
| --- | --- | --- |
| 1 | 3.17 | 1.089 |
| 2 | 4.26 | 0.206 |
| 3 | 3.08 | 1.185 |
| 4 | 4.80 | 0.592 |
| 5 | 7.34 | 0.420 |
| 6 | 7.38 | 0.621 |